Entry 1:
Entry from the Alexandria database: crystalline TmMgZn4 at its relaxed geometry (PBE-GGA).

Cell lengths 4.4165, 4.4165, 6.4724 Å; angles 90.00, 90.00, 120.00 degrees
Closest atoms and distances in Å follow each position.
Fractional coordinates of all 6 atoms:
Tm (0.0000, 0.0000, 0.0000)  12 Zn 3.05, 2 Mg 3.24
Mg (0.0000, 0.0000, 0.5000)  12 Zn 3.00, 2 Tm 3.24
Zn (0.3333, 0.6667, 0.2572)  3 Zn 2.55
Zn (0.3333, 0.6667, 0.7428)  3 Zn 2.55
Zn (0.6667, 0.3333, 0.2572)  3 Zn 2.55
Zn (0.6667, 0.3333, 0.7428)  3 Zn 2.55

As for the total energy: -2.14 eV per atom. The volume is 109 Å³/cell. As for the energy of formation from the pure elements: -279 meV per atom.

=====

Entry 2:
Entry from the Alexandria database: crystalline Ac6TeIr3Pd2 at its relaxed geometry (PBE-GGA).

Cell lengths 9.9705, 9.9705, 8.9831 Å; angles 103.75, 103.75, 25.51 degrees
Closest atoms and distances in Å follow each position.
Fractional coordinates of all 12 atoms:
Ac (0.0039, 0.0039, 0.2230)  3 Ir 2.97-3.03, 1 Pd 3.25
Ac (0.3223, 0.3223, 0.4211)  3 Ir 2.98-3.09, 2 Pd 3.24
Ac (0.3342, 0.3342, 0.9058)  3 Ir 3.07-3.13, 3 Pd 3.14-3.20
Ac (0.6658, 0.6658, 0.0942)  3 Ir 3.07-3.13, 3 Pd 3.14-3.20
Ac (0.6777, 0.6777, 0.5789)  3 Ir 2.98-3.09, 2 Pd 3.24
Ac (0.9961, 0.9961, 0.7770)  3 Ir 2.97-3.03, 1 Pd 3.25
Te (0.5000, 0.5000, 0.5000)  6 Ac 3.34-3.35
Ir (0.1642, 0.1642, 0.3313)  6 Ac 2.98-3.09
Ir (0.5000, 0.5000, 0.0000)  6 Ac 2.97-3.13
Ir (0.8358, 0.8358, 0.6687)  6 Ac 2.98-3.09
Pd (0.1678, 0.1678, 0.8370)  6 Ac 3.14-3.25
Pd (0.8322, 0.8322, 0.1630)  6 Ac 3.14-3.25

As for the total energy: -6.19 eV per atom. As for the formation energy (no corrections): -0.80 eV/atom. The volume is 373 Å³/cell.